No. 1
The following is a PBE calculation of a geometry-optimized Pa3Si2Ru6 structure, from Alexandria via LeMat-Bulk.

Geometry as CIF:
```
data_Pa3Si2Ru6
_chemical_formula_sum 'Pa12 Si8 Ru24'
_symmetry_space_group_name_H-M 'I m -3 m'
_symmetry_Int_Tables_number 229
_symmetry_space_group_name_Hall '-I 4 2 3'
_cell_length_a 9.170
_cell_length_b 9.170
_cell_length_c 9.170
_cell_angle_alpha 90.00
_cell_angle_beta 90.00
_cell_angle_gamma 90.00
loop_
_atom_site_label
_atom_site_fract_x
_atom_site_fract_y
_atom_site_fract_z
Pa1 0.000 0.000 0.282
Si1 0.250 0.250 0.250
Ru1 0.000 0.348 0.348
```

Output
- Fermi-level density of states: 1.308 states/eV per atom
- Formation energy from raw total energies: -516.9 meV per atom
- Density: 11.68 g/cm3
- Final energy: -402.70 eV for the cell shown
- Crystal system: cubic

=====

No. 2
The following is a PBE calculation of a geometry-optimized Pa2Si5Ru3 structure, from Alexandria via LeMat-Bulk.

Geometry as CIF:
```
data_Pa2Si5Ru3
_chemical_formula_sum 'Pa8 Si20 Ru12'
_symmetry_space_group_name_H-M 'C 1 2/c 1'
_symmetry_Int_Tables_number 15
_symmetry_space_group_name_Hall '-C 2yc'
_cell_length_a 11.197
_cell_length_b 11.779
_cell_length_c 5.732
_cell_angle_alpha 90.00
_cell_angle_beta 119.21
_cell_angle_gamma 90.00
loop_
_atom_site_label
_atom_site_fract_x
_atom_site_fract_y
_atom_site_fract_z
Pa1 0.233 0.137 0.236
Si1 0.000 0.014 0.250
Si2 0.000 0.278 0.250
Si3 0.000 0.293 0.750
Si4 0.161 0.398 0.162
Ru1 0.000 0.500 0.250
Ru2 0.102 0.143 0.634
```

Output
- Fermi-level density of states: 0.478 states/eV per atom
- Formation energy from raw total energies: -787.9 meV per atom
- Density: 9.12 g/cm3
- Final energy: -327.25 eV for the cell shown
- Crystal system: monoclinic

=====

> What is the density in the first record?

11.68 g/cm3

=====

> Look up the final energy of the second one.

-327.25 eV for the cell shown

=====

Copy entry 1 word for word.
The following is a PBE calculation of a geometry-optimized Pa3Si2Ru6 structure, from Alexandria via LeMat-Bulk.

Geometry as CIF:
```
data_Pa3Si2Ru6
_chemical_formula_sum 'Pa12 Si8 Ru24'
_symmetry_space_group_name_H-M 'I m -3 m'
_symmetry_Int_Tables_number 229
_symmetry_space_group_name_Hall '-I 4 2 3'
_cell_length_a 9.170
_cell_length_b 9.170
_cell_length_c 9.170
_cell_angle_alpha 90.00
_cell_angle_beta 90.00
_cell_angle_gamma 90.00
loop_
_atom_site_label
_atom_site_fract_x
_atom_site_fract_y
_atom_site_fract_z
Pa1 0.000 0.000 0.282
Si1 0.250 0.250 0.250
Ru1 0.000 0.348 0.348
```

Output
- Fermi-level density of states: 1.308 states/eV per atom
- Formation energy from raw total energies: -516.9 meV per atom
- Density: 11.68 g/cm3
- Final energy: -402.70 eV for the cell shown
- Crystal system: cubic